Entry 1:
# Sr2NdCd3

An optimized crystal structure of Sr2NdCd3 (GGA-PBE, the Alexandria database).

Summary:
ΔE to the lowest computed polymorph   6 meV per atom
Density   5.745 g/cm3

CIF file:
```
data_Sr2NdCd3
_cell_length_a 5.654
_cell_length_b 16.895
_cell_length_c 7.949
_cell_angle_alpha 90.00
_cell_angle_beta 90.00
_cell_angle_gamma 90.00
_symmetry_space_group_name_H-M 'C m m m'
_symmetry_Int_Tables_number 65
_symmetry_space_group_name_Hall '-C 2 2'
loop_
_atom_site_label
_atom_site_type_symbol
_atom_site_fract_x
_atom_site_fract_y
_atom_site_fract_z
_atom_site_occupancy
Sr1 Sr 0.000 0.000 0.000 1
Sr2 Sr 0.000 0.000 0.500 1
Sr3 Sr 0.000 0.334 0.000 1
Nd1 Nd 0.000 0.335 0.500 1
Cd1 Cd 0.000 0.172 0.270 1
Cd2 Cd 0.000 0.500 0.264 1
```

---

Entry 2:
# SrNdCd

An optimized crystal structure of SrNdCd (GGA-PBE, the Alexandria database).

Summary:
ΔE to the lowest computed polymorph   3 meV per atom
Density   5.194 g/cm3

CIF file:
```
data_SrNdCd
_cell_length_a 5.052
_cell_length_b 5.052
_cell_length_c 8.624
_cell_angle_alpha 90.00
_cell_angle_beta 90.00
_cell_angle_gamma 90.00
_symmetry_space_group_name_H-M 'P 4/n m m'
_symmetry_Int_Tables_number 129
loop_
_symmetry_equiv_pos_as_xyz
'x,y,z'
'-x,-y,-z'
'-y+1/2,x,z'
'y+1/2,-x,-z'
'-x+1/2,-y+1/2,z'
'x+1/2,y+1/2,-z'
'y,-x+1/2,z'
'-y,x+1/2,-z'
'x+1/2,-y,-z'
'-x+1/2,y,z'
'-y,-x,-z'
'y,x,z'
'-x,y+1/2,-z'
'x,-y+1/2,z'
'y+1/2,x+1/2,-z'
'-y+1/2,-x+1/2,z'
loop_
_atom_site_label
_atom_site_type_symbol
_atom_site_fract_x
_atom_site_fract_y
_atom_site_fract_z
_atom_site_occupancy
Sr1 Sr 0.250 0.250 0.143 1
Nd1 Nd 0.250 0.750 0.500 1
Cd1 Cd 0.250 0.250 0.742 1
```

---

Entry 3:
# Sr2NdCd

An optimized crystal structure of Sr2NdCd (GGA-PBE, the Alexandria database).

Summary:
ΔE to the lowest computed polymorph   72 meV per atom
Density   4.494 g/cm3

CIF file:
```
data_Sr2NdCd
_cell_length_a 3.9948
_cell_length_b 3.9948
_cell_length_c 34.6422
_cell_angle_alpha 90.00
_cell_angle_beta 90.00
_cell_angle_gamma 120.00
_symmetry_space_group_name_H-M 'R 3 m'
_symmetry_Int_Tables_number 160
_symmetry_space_group_name_Hall 'R 3 -2"'
loop_
_atom_site_label
_atom_site_type_symbol
_atom_site_fract_x
_atom_site_fract_y
_atom_site_fract_z
_atom_site_occupancy
Sr1 Sr 0.0000 0.0000 0.0000 1
Sr2 Sr 0.0000 0.0000 0.1841 1
Nd1 Nd 0.0000 0.0000 0.4260 1
Cd1 Cd 0.0000 0.0000 0.5918 1
```

---

Entry 4:
# Sr2NdCd

An optimized crystal structure of Sr2NdCd (GGA-PBE, the Alexandria database).

Summary:
ΔE to the lowest computed polymorph   0 meV per atom
Density   4.686 g/cm3

CIF file:
```
data_Sr2NdCd
_cell_length_a 3.859
_cell_length_b 3.859
_cell_length_c 10.278
_cell_angle_alpha 90.00
_cell_angle_beta 90.00
_cell_angle_gamma 90.00
_symmetry_space_group_name_H-M 'P 4/m m m'
_symmetry_Int_Tables_number 123
_symmetry_space_group_name_Hall '-P 4 2'
loop_
_atom_site_label
_atom_site_type_symbol
_atom_site_fract_x
_atom_site_fract_y
_atom_site_fract_z
_atom_site_occupancy
Sr1 Sr 0.000 0.000 0.212 1
Nd1 Nd 0.500 0.500 0.500 1
Cd1 Cd 0.500 0.500 0.000 1
```

---

Entry 5:
# SrNd2Cd

An optimized crystal structure of SrNd2Cd (GGA-PBE, the Alexandria database).

Summary:
ΔE to the lowest computed polymorph   69 meV per atom
Density   6.023 g/cm3

CIF file:
```
data_SrNd2Cd
_cell_length_a 5.093
_cell_length_b 5.093
_cell_length_c 5.193
_cell_angle_alpha 90.00
_cell_angle_beta 90.00
_cell_angle_gamma 90.00
_symmetry_space_group_name_H-M 'P 4/m m m'
_symmetry_Int_Tables_number 123
_symmetry_space_group_name_Hall '-P 4 2'
loop_
_atom_site_label
_atom_site_type_symbol
_atom_site_fract_x
_atom_site_fract_y
_atom_site_fract_z
_atom_site_occupancy
Sr1 Sr 0.000 0.000 0.000 1
Nd1 Nd 0.000 0.500 0.500 1
Cd1 Cd 0.500 0.500 0.000 1
```

---

Entry 6:
# SrNd5Cd4

An optimized crystal structure of SrNd5Cd4 (GGA-PBE, the Alexandria database).

Summary:
Density   6.589 g/cm3

CIF file:
```
data_SrNd5Cd4
_cell_length_a 3.902
_cell_length_b 3.902
_cell_length_c 20.831
_cell_angle_alpha 90.00
_cell_angle_beta 90.00
_cell_angle_gamma 90.00
_symmetry_space_group_name_H-M 'P 4/m m m'
_symmetry_Int_Tables_number 123
_symmetry_space_group_name_Hall '-P 4 2'
loop_
_atom_site_label
_atom_site_type_symbol
_atom_site_fract_x
_atom_site_fract_y
_atom_site_fract_z
_atom_site_occupancy
Sr1 Sr 0.000 0.000 0.000 1
Nd1 Nd 0.500 0.500 0.141 1
Nd2 Nd 0.500 0.500 0.319 1
Nd3 Nd 0.500 0.500 0.500 1
Cd1 Cd 0.000 0.000 0.227 1
Cd2 Cd 0.000 0.000 0.409 1
```

---

Entry 7:
# SrNdCd17

An optimized crystal structure of SrNdCd17 (GGA-PBE, the Alexandria database).

Summary:
Density   7.880 g/cm3

CIF file:
```
data_SrNdCd17
_cell_length_a 10.1854
_cell_length_b 10.1854
_cell_length_c 15.0775
_cell_angle_alpha 90.00
_cell_angle_beta 90.00
_cell_angle_gamma 120.00
_symmetry_space_group_name_H-M 'R 3 m'
_symmetry_Int_Tables_number 160
_symmetry_space_group_name_Hall 'R 3 -2"'
loop_
_atom_site_label
_atom_site_type_symbol
_atom_site_fract_x
_atom_site_fract_y
_atom_site_fract_z
_atom_site_occupancy
Sr1 Sr 0.0000 0.0000 0.0000 1
Nd1 Nd 0.0000 0.0000 0.6654 1
Cd1 Cd 0.0000 0.0000 0.2400 1
Cd2 Cd 0.0000 0.0000 0.4395 1
Cd3 Cd 0.0018 0.3001 0.3348 1
Cd4 Cd 0.0070 0.5035 0.1890 1
Cd5 Cd 0.0171 0.5086 0.8317 1
Cd6 Cd 0.0358 0.5179 0.4848 1
```

---

Entry 8:
# SrNdCd3

An optimized crystal structure of SrNdCd3 (GGA-PBE, the Alexandria database).

Summary:
Density   6.430 g/cm3

CIF file:
```
data_SrNdCd3
_cell_length_a 3.817
_cell_length_b 30.488
_cell_length_c 5.052
_cell_angle_alpha 90.00
_cell_angle_beta 90.00
_cell_angle_gamma 90.00
_symmetry_space_group_name_H-M 'C m c m'
_symmetry_Int_Tables_number 63
_symmetry_space_group_name_Hall '-C 2c 2'
loop_
_atom_site_label
_atom_site_type_symbol
_atom_site_fract_x
_atom_site_fract_y
_atom_site_fract_z
_atom_site_occupancy
Sr1 Sr 0.000 0.075 0.250 1
Nd1 Nd 0.000 0.213 0.750 1
Cd1 Cd 0.000 0.323 0.750 1
Cd2 Cd 0.000 0.377 0.250 1
Cd3 Cd 0.000 0.475 0.250 1
```

---

Number 1: E_form -318 meV/atom. Number 2: E_form -152 meV/atom. Number 3: E_form 27 meV/atom. Number 4: E_form -45 meV/atom. Number 5: E_form 11 meV/atom. Number 6: E_form -214 meV/atom. Number 7: E_form -161 meV/atom. Number 8: E_form -302 meV/atom.